1.
Material: TlTcRu
Method: DFT, PBE
State: relaxed

## Properties
- energy above the lowest structure with this stoichiometry (meV/atom) = 0
- formation energy from the elements (eV per atom) = 0.36
- DOS(E_F) (states/eV per cell) = 1.8

```
3
Lattice="6.324 0.004 -0.004 5.645 2.850 0.006 0.679 0.152 2.842" Properties=species:S:1:pos:R:3 pbc="T T T"
Tc 4.652 1.103 1.843
Tl 8.196 1.951 0.951
Ru 11.768 2.806 0.053
```


2.
Material: CdCu2Mo
Method: DFT, PBE
State: relaxed

## Properties
- formation energy from the elements (eV per atom) = 0.83
- DOS(E_F) (states/eV per cell) = 5.9

```
8
Lattice="6.920 0.000 0.000 0.000 6.920 0.000 3.460 3.460 2.782" Properties=species:S:1:pos:R:3 pbc="T T T"
Mo 3.460 6.920 1.391
Mo 3.460 3.460 0.000
Cu 5.117 1.730 0.696
Cu 1.803 5.190 0.696
Cu 5.190 5.263 2.087
Cu 8.650 8.577 2.087
Cd 0.000 0.000 0.000
Cd 6.920 3.460 1.391
```


3.
Material: Li2Ac3Cd5
Method: DFT, PBE
State: relaxed

## Properties
- formation energy from the elements (eV per atom) = -0.27
- DOS(E_F) (states/eV per cell) = 16.8

```
20
Lattice="4.336 0.000 0.000 0.000 11.334 0.000 0.000 0.000 11.334" Properties=species:S:1:pos:R:3 pbc="T T T"
Cd 2.168 2.604 0.704
Cd 2.168 10.630 2.604
Cd 2.168 8.271 4.963
Cd 2.168 4.963 3.063
Cd 2.168 0.704 8.730
Cd 2.168 0.000 5.667
Cd 2.168 3.063 6.371
Cd 2.168 8.730 10.630
Cd 2.168 5.667 0.000
Cd 2.168 6.371 8.271
Ac 0.000 2.052 3.615
Ac 0.000 7.719 2.052
Ac 0.000 3.615 9.282
Ac 0.000 0.000 0.000
Ac 0.000 9.282 7.719
Ac 0.000 5.667 5.667
Li 0.000 1.244 6.911
Li 0.000 6.911 10.090
Li 0.000 4.423 1.244
Li 0.000 10.090 4.423
```